An optimized crystal structure of Dy5Hg2Bi, computed with GGA-PBE.

crystal system	tetragonal
VASP energy	-3.946	eV/atom
theoretical density	10.44	g/cm³

a b c (Å): 8.794 8.794 8.794
angles (deg): 123.54 123.54 83.97
Sites, in units of the cell vectors:
Dy 0.994 0.799 0.500
Hg 0.641 0.859 0.500
Dy 0.799 0.299 0.804
Hg 0.859 0.359 0.217
Bi 0.250 0.250 0.000
Dy 0.701 0.506 0.500
Dy 0.006 0.201 0.500
Hg 0.359 0.141 0.500
Dy 0.494 0.994 0.196
Dy 0.000 0.000 0.000
Hg 0.141 0.641 0.783
Dy 0.506 0.006 0.804
Dy 0.201 0.701 0.196
Dy 0.500 0.500 0.000
Dy 0.299 0.494 0.500
Bi 0.750 0.750 0.000

An optimized crystal structure of PrNdCo2Bi4, computed with GGA-PBE.

crystal system	tetragonal
VASP energy	-5.386	eV/atom
theoretical density	10.05	g/cm³

a b c (Å): 4.582 4.582 9.751
angles (deg): 90.00 90.00 90.00
Sites, in units of the cell vectors:
Co 0.000 0.500 0.001
Co 0.500 0.000 0.001
Bi 0.500 0.000 0.499
Bi 0.000 0.000 0.858
Pr 0.500 0.500 0.771
Bi 0.000 0.500 0.499
Nd 0.000 0.000 0.227
Bi 0.500 0.500 0.143

An optimized crystal structure of PrSi2O4, computed with GGA-PBE.

crystal system	cubic
VASP energy	-6.565	eV/atom
theoretical density	4.53	g/cm³

a b c (Å): 6.469 6.469 6.469
angles (deg): 119.99 90.01 119.99
Sites, in units of the cell vectors:
O 0.568 0.712 0.856
Pr 0.750 0.500 0.250
O 0.144 0.288 0.856
O 0.144 0.712 0.856
Si 0.375 0.750 0.625
Si 0.375 0.750 0.125
O 0.144 0.288 0.432
O 0.606 0.212 0.818
Si 0.875 0.250 0.625
O 0.606 0.212 0.394
O 0.182 0.788 0.394
O 0.606 0.788 0.394
Si 0.375 0.250 0.625
Pr 0.000 0.000 0.000

An optimized crystal structure of TmNi4P2, computed with GGA-PBE.

crystal system	tetragonal
VASP energy	-6.210	eV/atom
theoretical density	8.70	g/cm³

a b c (Å): 7.045 7.045 3.583
angles (deg): 90.00 90.00 90.00
Sites, in units of the cell vectors:
Tm 0.000 0.000 0.000
Ni 0.416 0.165 0.000
Ni 0.665 0.084 0.500
Tm 0.500 0.500 0.500
Ni 0.335 0.916 0.500
P 0.280 0.720 0.000
P 0.780 0.780 0.500
P 0.220 0.220 0.500
Ni 0.084 0.665 0.500
Ni 0.916 0.335 0.500
Ni 0.584 0.835 0.000
Ni 0.165 0.416 0.000
Ni 0.835 0.584 0.000
P 0.720 0.280 0.000

An optimized crystal structure of InCuIrSe2S, computed with GGA-PBE.

crystal system	orthorhombic
VASP energy	-4.564	eV/atom
theoretical density	7.95	g/cm³

a b c (Å): 6.920 6.920 9.238
angles (deg): 90.00 90.00 148.03
Sites, in units of the cell vectors:
In 0.259 0.741 0.750
Cu 0.521 0.479 0.750
Ir 0.000 0.000 0.500
Se 0.629 0.371 0.958
S 0.074 0.926 0.250
In 0.741 0.259 0.250
Cu 0.479 0.521 0.250
Ir 0.000 0.000 0.000
Se 0.629 0.371 0.542
Se 0.371 0.629 0.458
Se 0.371 0.629 0.042
S 0.926 0.074 0.750